Record 1
Na12In3F5: optimized geometry, GGA-PBE.

For the raw formation energy, the calculation gives -1.20 eV per atom. The value obtained for the density of states at the Fermi level is 66.3 states/eV per cell. The value obtained for the total moment is 0.0 μB/f.u. The energy is -2.87 eV per atom.

The structure belongs to space group Ia-3d (No. 230); the cell edges are 15.755, 15.755 and 15.755 Å and the angles 90.00°, 90.00° and 90.00°. The inequivalent atoms are Na at (0.041, 0.046, 0.645), In at (0.000, 0.250, 0.125), F at (0.000, 0.000, 0.000) and F at (0.000, 0.250, 0.375).

***

Record 2
Na3InF6: optimized geometry, GGA-PBE.

For the raw formation energy, the calculation gives -2.70 eV per atom. The value obtained for the density of states at the Fermi level is 0.0 states/eV per cell. The value obtained for the total moment is 0.2 μB/f.u. The energy is -4.50 eV per atom.

The structure belongs to space group P2_1/c (No. 14); the cell edges are 5.732, 5.942 and 9.998 Å and the angles 90.00°, 123.93° and 90.00°. The inequivalent atoms are Na at (0.000, 0.000, 0.000), Na at (0.221, 0.055, 0.737), In at (0.500, 0.000, 0.500), F at (0.142, 0.182, 0.445), F at (0.238, 0.711, 0.414) and F at (0.401, 0.077, 0.267).

***

Record 3
Na2NdInF8: optimized geometry, GGA-PBE.

For the raw formation energy, the calculation gives -3.13 eV per atom. The value obtained for the density of states at the Fermi level is 0.0 states/eV per cell. The value obtained for the total moment is 0.0 μB/f.u. The energy is -5.22 eV per atom.

The structure belongs to space group Pmmm (No. 47); the cell edges are 3.854, 5.580 and 7.678 Å and the angles 90.00°, 90.00° and 90.00°. The inequivalent atoms are Na at (0.000, 0.000, 0.235), Nd at (0.500, 0.500, 0.500), In at (0.500, 0.500, 0.000), F at (0.000, 0.256, 0.500), F at (0.000, 0.279, 0.000) and F at (0.500, 0.270, 0.236).

***

Q: The highest raw formation energy belongs to which entry?
A: Na12In3F5

***

Q: total moment of number 3 (Na2NdInF8)?
A: 0.0 μB/f.u.